(1)
{
  "formula": "LaYSn2",
  "functional": "PBE",
  "state": "relaxed",
  "lattice_angstrom": [[4.383, 0.000, 0.000], [0.000, 2.336, 5.863], [0.000, -2.336, 5.863]],
  "species": ["La", "Y", "Sn", "Sn"],
  "fractional_positions": [[0.000, 0.000, 0.000], [0.500, 0.270, 0.270], [0.000, 0.727, 0.727], [0.500, 0.548, 0.548]],
  "vol_a3_per_cell": 120.1,
  "mass_density_g_cm3": 6.4,
  "delta_e_f_ev_per_atom": -0.7670
}

=====

(2)
{
  "formula": "LaYSn2",
  "functional": "PBE",
  "state": "relaxed",
  "lattice_angstrom": [[2.062, 1.191, 8.658], [-2.062, 1.191, 8.658], [0.000, -2.381, 8.658]],
  "species": ["La", "Y", "Sn", "Sn"],
  "fractional_positions": [[0.000, 0.000, 0.000], [0.500, 0.500, 0.500], [0.246, 0.246, 0.246], [0.754, 0.754, 0.754]],
  "vol_a3_per_cell": 127.5,
  "mass_density_g_cm3": 6.1,
  "delta_e_f_ev_per_atom": -0.5545
}

=====

(3)
{
  "formula": "La2Y3Sn4",
  "functional": "PBE",
  "state": "relaxed",
  "lattice_angstrom": [[8.403, 0.000, 0.000], [0.000, 8.411, 0.000], [-2.798, 0.000, 7.643]],
  "species": ["La", "La", "La", "La", "Y", "Y", "Y", "Y", "Y", "Y", "Sn", "Sn", "Sn", "Sn", "Sn", "Sn", "Sn", "Sn"],
  "fractional_positions": [[0.192, 0.177, 0.064], [0.192, 0.323, 0.564], [0.808, 0.677, 0.436], [0.808, 0.823, 0.936], [0.248, 0.668, 0.244], [0.248, 0.832, 0.744], [0.500, 0.000, 0.500], [0.500, 0.500, 0.000], [0.752, 0.168, 0.256], [0.752, 0.332, 0.756], [0.083, 0.540, 0.847], [0.083, 0.960, 0.347], [0.491, 0.134, 0.863], [0.491, 0.366, 0.363], [0.509, 0.634, 0.637], [0.509, 0.866, 0.137], [0.917, 0.040, 0.653], [0.917, 0.460, 0.153]],
  "vol_a3_per_cell": 540.2,
  "relative_energy_ev_per_atom": 0.000,
  "mass_density_g_cm3": 6.3,
  "delta_e_f_ev_per_atom": -0.8424
}

=====

(4)
{
  "formula": "La2YSn",
  "functional": "PBE",
  "state": "relaxed",
  "lattice_angstrom": [[1.805, 1.042, 12.422], [-1.805, 1.042, 12.422], [0.000, -2.084, 12.422]],
  "species": ["La", "La", "Y", "Sn"],
  "fractional_positions": [[0.088, 0.088, 0.088], [0.912, 0.912, 0.912], [0.500, 0.500, 0.500], [0.000, 0.000, 0.000]],
  "vol_a3_per_cell": 140.2,
  "mass_density_g_cm3": 5.7,
  "delta_e_f_ev_per_atom": 0.0698
}

=====

(5)
{
  "formula": "La2YSn",
  "functional": "PBE",
  "state": "relaxed",
  "lattice_angstrom": [[-3.407, 4.522, 4.134], [3.407, -4.522, 4.134], [3.407, 4.522, -4.134]],
  "species": ["La", "La", "La", "La", "Y", "Y", "Sn", "Sn"],
  "fractional_positions": [[0.299, 0.000, 0.799], [0.299, 0.500, 0.299], [0.701, 0.000, 0.201], [0.701, 0.500, 0.701], [0.180, 0.430, 0.750], [0.820, 0.570, 0.250], [0.203, 0.953, 0.250], [0.797, 0.047, 0.750]],
  "vol_a3_per_cell": 254.8,
  "mass_density_g_cm3": 6.3,
  "delta_e_f_ev_per_atom": -0.4422
}

=====

(6)
{
  "formula": "LaY2Sn2",
  "functional": "PBE",
  "state": "relaxed",
  "lattice_angstrom": [[8.956, 0.000, 0.000], [0.000, 8.956, 0.000], [0.000, 0.000, 3.733]],
  "species": ["La", "La", "Y", "Y", "Y", "Y", "Sn", "Sn", "Sn", "Sn"],
  "fractional_positions": [[0.000, 0.000, 0.000], [0.500, 0.500, 0.000], [0.145, 0.355, 0.500], [0.355, 0.855, 0.500], [0.645, 0.145, 0.500], [0.855, 0.645, 0.500], [0.154, 0.654, 0.000], [0.346, 0.154, 0.000], [0.654, 0.846, 0.000], [0.846, 0.346, 0.000]],
  "vol_a3_per_cell": 299.4,
  "relative_energy_ev_per_atom": 0.000,
  "mass_density_g_cm3": 6.1,
  "delta_e_f_ev_per_atom": -0.6644
}

=====

(7)
{
  "formula": "La2YSn",
  "functional": "PBE",
  "state": "relaxed",
  "lattice_angstrom": [[1.851, 1.069, 11.300], [-1.851, 1.069, 11.300], [0.000, -2.137, 11.300]],
  "species": ["La", "La", "Y", "Sn"],
  "fractional_positions": [[0.000, 0.000, 0.000], [0.175, 0.175, 0.175], [0.421, 0.421, 0.421], [0.587, 0.587, 0.587]],
  "vol_a3_per_cell": 134.1,
  "mass_density_g_cm3": 6.0,
  "delta_e_f_ev_per_atom": -0.1885
}

=====

(8)
{
  "formula": "La5YSn3",
  "functional": "PBE",
  "state": "relaxed",
  "lattice_angstrom": [[9.771, 0.000, 0.000], [-4.885, 8.462, 0.000], [0.000, 0.000, 6.883]],
  "species": ["La", "La", "La", "La", "La", "La", "La", "La", "La", "La", "Y", "Y", "Sn", "Sn", "Sn", "Sn", "Sn", "Sn"],
  "fractional_positions": [[0.000, 0.334, 0.250], [0.000, 0.666, 0.750], [0.333, 0.667, 0.000], [0.333, 0.667, 0.500], [0.334, 0.000, 0.250], [0.334, 0.334, 0.750], [0.666, 0.000, 0.750], [0.666, 0.666, 0.250], [0.667, 0.333, 0.000], [0.667, 0.333, 0.500], [0.000, 0.000, 0.000], [0.000, 0.000, 0.500], [0.000, 0.329, 0.750], [0.000, 0.671, 0.250], [0.329, 0.000, 0.750], [0.329, 0.329, 0.250], [0.671, 0.000, 0.250], [0.671, 0.671, 0.750]],
  "vol_a3_per_cell": 569.1,
  "mass_density_g_cm3": 6.7,
  "delta_e_f_ev_per_atom": -0.5861
}

=====

(9)
{
  "formula": "La2YSn",
  "functional": "PBE",
  "state": "relaxed",
  "lattice_angstrom": [[4.356, 0.000, 0.000], [0.000, 4.356, 0.000], [0.000, 0.000, 6.853]],
  "species": ["La", "La", "Y", "Sn"],
  "fractional_positions": [[0.000, 0.000, 0.226], [0.000, 0.000, 0.774], [0.500, 0.500, 0.500], [0.500, 0.500, 0.000]],
  "vol_a3_per_cell": 130.1,
  "mass_density_g_cm3": 6.2,
  "delta_e_f_ev_per_atom": -0.3960
}

=====

(10)
{
  "formula": "La3YSn12",
  "functional": "PBE",
  "state": "relaxed",
  "lattice_angstrom": [[4.790, 0.000, 0.000], [0.000, 4.790, 0.000], [0.000, 0.000, 19.077]],
  "species": ["La", "La", "La", "Y", "Sn", "Sn", "Sn", "Sn", "Sn", "Sn", "Sn", "Sn", "Sn", "Sn", "Sn", "Sn"],
  "fractional_positions": [[0.000, 0.000, 0.000], [0.000, 0.000, 0.253], [0.000, 0.000, 0.747], [0.000, 0.000, 0.500], [0.000, 0.500, 0.127], [0.000, 0.500, 0.380], [0.000, 0.500, 0.620], [0.000, 0.500, 0.873], [0.500, 0.000, 0.127], [0.500, 0.000, 0.380], [0.500, 0.000, 0.620], [0.500, 0.000, 0.873], [0.500, 0.500, 0.000], [0.500, 0.500, 0.253], [0.500, 0.500, 0.500], [0.500, 0.500, 0.747]],
  "vol_a3_per_cell": 437.8,
  "mass_density_g_cm3": 7.3,
  "delta_e_f_ev_per_atom": -0.5451
}

=====

(11)
{
  "formula": "La14YSn",
  "functional": "PBE",
  "state": "relaxed",
  "lattice_angstrom": [[10.413, 0.000, 0.000], [0.000, 5.182, 5.184], [0.000, -5.182, 5.184]],
  "species": ["La", "La", "La", "La", "La", "La", "La", "La", "La", "La", "La", "La", "La", "La", "Y", "Sn"],
  "fractional_positions": [[0.000, 0.000, 0.000], [0.000, 0.000, 0.500], [0.000, 0.498, 0.498], [0.000, 0.500, 0.000], [0.257, 0.242, 0.242], [0.257, 0.242, 0.757], [0.257, 0.757, 0.242], [0.257, 0.757, 0.757], [0.500, 0.000, 0.500], [0.500, 0.500, 0.000], [0.743, 0.242, 0.242], [0.743, 0.242, 0.757], [0.743, 0.757, 0.242], [0.743, 0.757, 0.757], [0.500, 0.500, 0.500], [0.500, 0.999, 0.999]],
  "vol_a3_per_cell": 559.5,
  "mass_density_g_cm3": 6.4,
  "delta_e_f_ev_per_atom": -0.1002
}

=====

(12)
{
  "formula": "La2Y3Sn2",
  "functional": "PBE",
  "state": "relaxed",
  "lattice_angstrom": [[6.220, -2.251, 0.000], [6.220, 2.251, 0.000], [-3.215, 0.000, 8.147]],
  "species": ["La", "La", "Y", "Y", "Y", "Sn", "Sn"],
  "fractional_positions": [[0.142, 0.142, 0.302], [0.858, 0.858, 0.698], [0.375, 0.375, 0.055], [0.500, 0.500, 0.500], [0.625, 0.625, 0.945], [0.163, 0.163, 0.712], [0.837, 0.837, 0.288]],
  "vol_a3_per_cell": 228.1,
  "mass_density_g_cm3": 5.7,
  "delta_e_f_ev_per_atom": -0.4979
}

=====

(13)
{
  "formula": "La2YSn",
  "functional": "PBE",
  "state": "relaxed",
  "lattice_angstrom": [[2.917, -6.279, 0.000], [2.917, 6.279, 0.000], [0.000, 0.000, 6.992]],
  "species": ["La", "La", "La", "La", "Y", "Y", "Sn", "Sn"],
  "fractional_positions": [[0.122, 0.878, 0.528], [0.122, 0.878, 0.972], [0.878, 0.122, 0.028], [0.878, 0.122, 0.472], [0.423, 0.577, 0.750], [0.577, 0.423, 0.250], [0.334, 0.666, 0.250], [0.666, 0.334, 0.750]],
  "vol_a3_per_cell": 256.1,
  "mass_density_g_cm3": 6.3,
  "delta_e_f_ev_per_atom": -0.3312
}

=====

(14)
{
  "formula": "La2Y3Sn4",
  "functional": "PBE",
  "state": "relaxed",
  "lattice_angstrom": [[3.571, -8.654, 0.000], [3.571, 8.654, 0.000], [0.000, 0.000, 8.990]],
  "species": ["La", "La", "La", "La", "Y", "Y", "Y", "Y", "Y", "Y", "Sn", "Sn", "Sn", "Sn", "Sn", "Sn", "Sn", "Sn"],
  "fractional_positions": [[0.111, 0.889, 0.911], [0.389, 0.611, 0.411], [0.611, 0.389, 0.589], [0.889, 0.111, 0.089], [0.000, 0.000, 0.500], [0.043, 0.457, 0.750], [0.457, 0.043, 0.250], [0.500, 0.500, 0.000], [0.543, 0.957, 0.750], [0.957, 0.543, 0.250], [0.187, 0.813, 0.554], [0.218, 0.282, 0.750], [0.282, 0.218, 0.250], [0.313, 0.687, 0.054], [0.687, 0.313, 0.946], [0.718, 0.782, 0.750], [0.782, 0.718, 0.250], [0.813, 0.187, 0.446]],
  "vol_a3_per_cell": 555.7,
  "relative_energy_ev_per_atom": 0.149,
  "mass_density_g_cm3": 6.1,
  "delta_e_f_ev_per_atom": -0.6931
}

=====

(15)
{
  "formula": "La2YSn2",
  "functional": "PBE",
  "state": "relaxed",
  "lattice_angstrom": [[9.205, 0.000, 0.000], [0.000, 9.205, 0.000], [0.000, 0.000, 3.701]],
  "species": ["La", "La", "La", "La", "Y", "Y", "Sn", "Sn", "Sn", "Sn"],
  "fractional_positions": [[0.119, 0.381, 0.000], [0.381, 0.881, 0.000], [0.619, 0.119, 0.000], [0.881, 0.619, 0.000], [0.000, 0.000, 0.000], [0.500, 0.500, 0.000], [0.180, 0.680, 0.500], [0.320, 0.180, 0.500], [0.680, 0.820, 0.500], [0.820, 0.320, 0.500]],
  "vol_a3_per_cell": 313.6,
  "relative_energy_ev_per_atom": 0.324,
  "mass_density_g_cm3": 6.4,
  "delta_e_f_ev_per_atom": -0.4317
}

=====

(16)
{
  "formula": "LaYSn2",
  "functional": "PBE",
  "state": "relaxed",
  "lattice_angstrom": [[5.020, 0.000, 0.000], [0.000, 5.020, 0.000], [0.000, 0.000, 4.523]],
  "species": ["La", "Y", "Sn", "Sn"],
  "fractional_positions": [[0.000, 0.000, 0.000], [0.500, 0.500, 0.000], [0.000, 0.500, 0.500], [0.500, 0.000, 0.500]],
  "vol_a3_per_cell": 114.0,
  "mass_density_g_cm3": 6.8,
  "delta_e_f_ev_per_atom": -0.6727
}

=====

(17)
{
  "formula": "LaYSn2",
  "functional": "PBE",
  "state": "relaxed",
  "lattice_angstrom": [[4.060, 0.000, 0.000], [0.000, 4.060, 0.000], [0.000, 0.000, 6.980]],
  "species": ["La", "Y", "Sn", "Sn"],
  "fractional_positions": [[0.000, 0.000, 0.000], [0.000, 0.000, 0.500], [0.500, 0.500, 0.278], [0.500, 0.500, 0.722]],
  "vol_a3_per_cell": 115.1,
  "mass_density_g_cm3": 6.7,
  "delta_e_f_ev_per_atom": -0.6828
}

=====

(18)
{
  "formula": "La2YSn2",
  "functional": "PBE",
  "state": "relaxed",
  "lattice_angstrom": [[8.223, 0.000, 0.000], [0.000, 8.223, 0.000], [0.000, 0.000, 4.724]],
  "species": ["La", "La", "La", "La", "Y", "Y", "Sn", "Sn", "Sn", "Sn"],
  "fractional_positions": [[0.172, 0.328, 0.000], [0.328, 0.828, 0.000], [0.672, 0.172, 0.000], [0.828, 0.672, 0.000], [0.000, 0.000, 0.500], [0.500, 0.500, 0.500], [0.129, 0.629, 0.500], [0.371, 0.129, 0.500], [0.629, 0.871, 0.500], [0.871, 0.371, 0.500]],
  "vol_a3_per_cell": 319.4,
  "relative_energy_ev_per_atom": 0.000,
  "mass_density_g_cm3": 6.3,
  "delta_e_f_ev_per_atom": -0.7559
}

=====

(19)
{
  "formula": "La3YSn3",
  "functional": "PBE",
  "state": "relaxed",
  "lattice_angstrom": [[4.466, -6.797, 0.000], [4.466, 6.797, 0.000], [-0.042, 0.000, 8.083]],
  "species": ["La", "La", "La", "La", "La", "La", "Y", "Y", "Sn", "Sn", "Sn", "Sn", "Sn", "Sn"],
  "fractional_positions": [[0.154, 0.846, 0.000], [0.225, 0.775, 0.500], [0.372, 0.372, 0.863], [0.628, 0.628, 0.137], [0.775, 0.225, 0.500], [0.846, 0.154, 0.000], [0.287, 0.287, 0.404], [0.713, 0.713, 0.596], [0.054, 0.054, 0.686], [0.161, 0.505, 0.186], [0.495, 0.839, 0.814], [0.505, 0.161, 0.186], [0.839, 0.495, 0.814], [0.946, 0.946, 0.314]],
  "vol_a3_per_cell": 490.7,
  "mass_density_g_cm3": 5.8,
  "delta_e_f_ev_per_atom": -0.5166
}

=====

(20)
{
  "formula": "La2YSn",
  "functional": "PBE",
  "state": "relaxed",
  "lattice_angstrom": [[4.888, 0.000, 0.000], [0.000, 4.888, 0.000], [0.000, 0.000, 5.128]],
  "species": ["La", "La", "Y", "Sn"],
  "fractional_positions": [[0.000, 0.500, 0.000], [0.500, 0.000, 0.000], [0.000, 0.000, 0.500], [0.500, 0.500, 0.500]],
  "vol_a3_per_cell": 122.5,
  "mass_density_g_cm3": 6.6,
  "delta_e_f_ev_per_atom": -0.4594
}

=====

The records above yield total energy values of -22.47 -21.62 -105.68 -20.04 -44.18 -58.37 -21.08 -96.77 -21.91 -78.00 -81.05 -40.74 -43.29 -102.99 -52.97 -22.09 -22.13 -56.21 -73.74 -22.16 eV for the cell shown, respectively.